A plane-wave DFT calculation with PBE-GGA was carried out for KTcPt after structural relaxation.

Cell lengths 5.6094, 5.6094, 8.4514 Å; angles 107.21, 107.21, 30.31 degrees
Atoms (fractional coordinates):
K  0.1514  0.1514  0.1068
K  0.8486  0.8486  0.8932
Tc  0.1648  0.1648  0.5050
Tc  0.8352  0.8352  0.4950
Pt  0.4598  0.4598  0.3129
Pt  0.5402  0.5402  0.6871

Summary:
Its space group is C2/m (12). Its density is 8.64 Mg/m³. The energy relative to the lowest polymorph listed for this composition comes out at 147 meV/atom. The calculation puts the magnetization at 0.00 Bohr magnetons per cell. Its total energy is -5.548 eV/atom. The density of states at the Fermi level comes out at 4.43 states/eV/cell. Its energy of formation is 0.286 eV per atom.